Crystalline MgAl2PdS at its relaxed geometry. Source: Alexandria via LeMat-Bulk, functional PBE-GGA.

abc: 4.6748 4.6748 4.5136
angles: 90.00 90.00 90.00
With the nearest neighbours (Å) after each atom.
Space group P4/mmm (No. 123)
Unique sites:
Mg: 0.0000 0.0000 0.0000 x1  2 S 2.26
Al: 0.0000 0.5000 0.5000 x2  2 S 2.34
Pd: 0.5000 0.5000 0.0000 x1  8 Al 3.25, 4 Mg 3.31
S: 0.0000 0.0000 0.5000 x1  2 Mg 2.26, 4 Al 2.34

Calculated values
total magnetization	0.000	μB/atom
total DFT energy (no corrections)	-0.12880	Ha/atom
mass density	3.649	g/cm³